First-principles (PBE) data for a relaxed RbZnH crystal, as listed in Alexandria via LeMat-Bulk.

Values from the calculation:
VASP energy = -1.895 eV per atom

a = 3.664 Å, b = 3.732 Å, c = 11.057 Å
α = 91.93°, β = 93.02°, γ = 90.25°
Element x y z (fractional)
Rb: 0.205 0.222 0.223
Rb: 0.795 0.778 0.777
Zn: 0.257 0.254 0.543
Zn: 0.743 0.746 0.457
H: 0.283 0.270 0.698
H: 0.717 0.730 0.302